# HfGe | Alexandria | GGA-PBE | optimized geometry
data_HfGe
_space_group_name_H-M_alt 'P m m n'
_space_group_IT_number 59
_cell_length_a 4.7242
_cell_length_b 15.9832
_cell_length_c 3.0641
_cell_angle_alpha 90.00
_cell_angle_beta 90.00
_cell_angle_gamma 90.00
loop_
_space_group_symop_operation_xyz
'x,y,z'
'-x,-y,-z'
'-x+1/2,-y+1/2,z'
'x+1/2,y+1/2,-z'
'x+1/2,-y,-z'
'-x+1/2,y,z'
'-x,y+1/2,-z'
'x,-y+1/2,z'
loop_
_atom_site_label
_atom_site_type_symbol
_atom_site_fract_x
_atom_site_fract_y
_atom_site_fract_z
Hf1 Hf 0.2500 0.0823 0.0749
Hf2 Hf 0.2500 0.7500 0.5491
Ge1 Ge 0.2500 0.2500 0.9802
Ge2 Ge 0.2500 0.5788 0.4097
# * energy of formation from the pure elements: -445 meV/atom
# * total DFT energy (no corrections): -92.8 eV per cell

***

# HfGe4 | Alexandria | GGA-PBE | optimized geometry
data_HfGe4
_space_group_name_H-M_alt 'P m -3 m'
_space_group_IT_number 221
_space_group_name_Hall '-P 4 2 3'
_cell_length_a 5.1476
_cell_length_b 5.1476
_cell_length_c 5.1476
_cell_angle_alpha 90.00
_cell_angle_beta 90.00
_cell_angle_gamma 90.00
loop_
_atom_site_label
_atom_site_type_symbol
_atom_site_fract_x
_atom_site_fract_y
_atom_site_fract_z
Hf1 Hf 0.0000 0.0000 0.0000
Ge1 Ge 0.0000 0.0000 0.5000
Ge2 Ge 0.5000 0.5000 0.5000
# * energy of formation from the pure elements: 636 meV/atom
# * total DFT energy (no corrections): -25.2 eV per cell

***

# Hf6Ge5 | Alexandria | GGA-PBE | optimized geometry
data_Hf6Ge5
_space_group_name_H-M_alt 'C 1 2/m 1'
_space_group_IT_number 12
_space_group_name_Hall '-C 2y'
_cell_length_a 6.5693
_cell_length_b 11.3200
_cell_length_c 6.6113
_cell_angle_alpha 90.00
_cell_angle_beta 109.33
_cell_angle_gamma 90.00
loop_
_atom_site_label
_atom_site_type_symbol
_atom_site_fract_x
_atom_site_fract_y
_atom_site_fract_z
Hf1 Hf 0.2479 0.0000 0.2424
Hf2 Hf 0.2487 0.1664 0.7465
Ge1 Ge 0.0000 0.1705 0.0000
Ge2 Ge 0.0000 0.3349 0.5000
Ge3 Ge 0.0000 0.5000 0.0000
# * energy of formation from the pure elements: -432 meV/atom
# * total DFT energy (no corrections): -175.1 eV per cell

***

# HfGe | Alexandria | GGA-PBE | optimized geometry
data_HfGe
_space_group_name_H-M_alt 'P 63/m m c'
_space_group_IT_number 194
_space_group_name_Hall '-P 6c 2c'
_cell_length_a 4.6335
_cell_length_b 4.6335
_cell_length_c 5.3397
_cell_angle_alpha 90.00
_cell_angle_beta 90.00
_cell_angle_gamma 120.00
loop_
_atom_site_label
_atom_site_type_symbol
_atom_site_fract_x
_atom_site_fract_y
_atom_site_fract_z
Hf1 Hf 0.3333 0.6667 0.2500
Ge1 Ge 0.3333 0.6667 0.7500
# * energy of formation from the pure elements: -231 meV/atom
# * total DFT energy (no corrections): -30.1 eV per cell

***

# HfHg3Ge | Alexandria | GGA-PBE | optimized geometry
data_HfHg3Ge
_space_group_name_H-M_alt 'P m -3 m'
_space_group_IT_number 221
_space_group_name_Hall '-P 4 2 3'
_cell_length_a 5.4766
_cell_length_b 5.4766
_cell_length_c 5.4766
_cell_angle_alpha 90.00
_cell_angle_beta 90.00
_cell_angle_gamma 90.00
loop_
_atom_site_label
_atom_site_type_symbol
_atom_site_fract_x
_atom_site_fract_y
_atom_site_fract_z
Hf1 Hf 0.0000 0.0000 0.0000
Hg1 Hg 0.0000 0.0000 0.5000
Ge1 Ge 0.5000 0.5000 0.5000
# * energy of formation from the pure elements: 837 meV/atom
# * total DFT energy (no corrections): -11.3 eV per cell
# * excess energy over the best structure of this formula in the dataset: 0.015 eV/atom

***

# HfHg3Ge | Alexandria | GGA-PBE | optimized geometry
data_HfHg3Ge
_space_group_name_H-M_alt 'P m -3 m'
_space_group_IT_number 221
_space_group_name_Hall '-P 4 2 3'
_cell_length_a 5.1186
_cell_length_b 5.1186
_cell_length_c 5.1186
_cell_angle_alpha 90.00
_cell_angle_beta 90.00
_cell_angle_gamma 90.00
loop_
_atom_site_label
_atom_site_type_symbol
_atom_site_fract_x
_atom_site_fract_y
_atom_site_fract_z
Hf1 Hf 0.0000 0.0000 0.0000
Hg1 Hg 0.0000 0.5000 0.5000
Ge1 Ge 0.5000 0.5000 0.5000
# * energy of formation from the pure elements: 822 meV/atom
# * total DFT energy (no corrections): -11.4 eV per cell
# * excess energy over the best structure of this formula in the dataset: 0.000 eV/atom

***

# Hf3HgGe | Alexandria | GGA-PBE | optimized geometry
data_Hf3HgGe
_space_group_name_H-M_alt 'P m -3 m'
_space_group_IT_number 221
_space_group_name_Hall '-P 4 2 3'
_cell_length_a 4.9472
_cell_length_b 4.9472
_cell_length_c 4.9472
_cell_angle_alpha 90.00
_cell_angle_beta 90.00
_cell_angle_gamma 90.00
loop_
_atom_site_label
_atom_site_type_symbol
_atom_site_fract_x
_atom_site_fract_y
_atom_site_fract_z
Hf1 Hf 0.0000 0.0000 0.5000
Hg1 Hg 0.5000 0.5000 0.5000
Ge1 Ge 0.0000 0.0000 0.0000
# * energy of formation from the pure elements: 316 meV/atom
# * total DFT energy (no corrections): -33.2 eV per cell
# * excess energy over the best structure of this formula in the dataset: 0.000 eV/atom

***

# HfHg2Ge | Alexandria | GGA-PBE | optimized geometry
data_HfHg2Ge
_space_group_name_H-M_alt 'I -4 2 d'
_space_group_IT_number 122
_space_group_name_Hall 'I -4 2bw'
_cell_length_a 7.8724
_cell_length_b 7.8724
_cell_length_c 5.6878
_cell_angle_alpha 90.00
_cell_angle_beta 90.00
_cell_angle_gamma 90.00
loop_
_atom_site_label
_atom_site_type_symbol
_atom_site_fract_x
_atom_site_fract_y
_atom_site_fract_z
Hf1 Hf 0.0000 0.0000 0.0000
Hg1 Hg 0.2320 0.2500 0.6250
Ge1 Ge 0.0000 0.0000 0.5000
# * energy of formation from the pure elements: 138 meV/atom
# * total DFT energy (no corrections): -58.5 eV per cell

***

# HfHgGe2 | Alexandria | GGA-PBE | optimized geometry
data_HfHgGe2
_space_group_name_H-M_alt 'I -4 2 d'
_space_group_IT_number 122
_space_group_name_Hall 'I -4 2bw'
_cell_length_a 7.4508
_cell_length_b 7.4508
_cell_length_c 6.0597
_cell_angle_alpha 90.00
_cell_angle_beta 90.00
_cell_angle_gamma 90.00
loop_
_atom_site_label
_atom_site_type_symbol
_atom_site_fract_x
_atom_site_fract_y
_atom_site_fract_z
Hf1 Hf 0.0000 0.0000 0.0000
Hg1 Hg 0.0000 0.0000 0.5000
Ge1 Ge 0.2431 0.2500 0.6250
# * energy of formation from the pure elements: 197 meV/atom
# * total DFT energy (no corrections): -74.8 eV per cell

***

# Hf2InHgGe | Alexandria | GGA-PBE | optimized geometry
data_Hf2InHgGe
_space_group_name_H-M_alt 'P 4/m m m'
_space_group_IT_number 123
_space_group_name_Hall '-P 4 2'
_cell_length_a 5.3285
_cell_length_b 5.3285
_cell_length_c 5.0645
_cell_angle_alpha 90.00
_cell_angle_beta 90.00
_cell_angle_gamma 90.00
loop_
_atom_site_label
_atom_site_type_symbol
_atom_site_fract_x
_atom_site_fract_y
_atom_site_fract_z
Hf1 Hf 0.0000 0.5000 0.0000
In1 In 0.0000 0.0000 0.0000
Hg1 Hg 0.0000 0.0000 0.5000
Ge1 Ge 0.5000 0.5000 0.5000
# * energy of formation from the pure elements: 1193 meV/atom
# * total DFT energy (no corrections): -21.6 eV per cell

***

# HfMnHg2Ge | Alexandria | GGA-PBE | optimized geometry
data_HfMnHg2Ge
_space_group_name_H-M_alt 'P 4/m m m'
_space_group_IT_number 123
_space_group_name_Hall '-P 4 2'
_cell_length_a 5.1058
_cell_length_b 5.1058
_cell_length_c 4.5882
_cell_angle_alpha 90.00
_cell_angle_beta 90.00
_cell_angle_gamma 90.00
loop_
_atom_site_label
_atom_site_type_symbol
_atom_site_fract_x
_atom_site_fract_y
_atom_site_fract_z
Hf1 Hf 0.0000 0.0000 0.0000
Mn1 Mn 0.5000 0.5000 0.5000
Hg1 Hg 0.0000 0.5000 0.5000
Ge1 Ge 0.5000 0.5000 0.0000
# * energy of formation from the pure elements: 651 meV/atom
# * total DFT energy (no corrections): -21.1 eV per cell

***

# HfHgGeO5 | Alexandria | GGA-PBE | optimized geometry
data_HfHgGeO5
_space_group_name_H-M_alt 'C 1 2/c 1'
_space_group_IT_number 15
_space_group_name_Hall '-C 2yc'
_cell_length_a 7.6682
_cell_length_b 8.8769
_cell_length_c 7.9419
_cell_angle_alpha 90.00
_cell_angle_beta 118.06
_cell_angle_gamma 90.00
loop_
_atom_site_label
_atom_site_type_symbol
_atom_site_fract_x
_atom_site_fract_y
_atom_site_fract_z
Hf1 Hf 0.0000 0.0000 0.0000
Hg1 Hg 0.0000 0.3164 0.2500
Ge1 Ge 0.0000 0.3352 0.7500
O1 O 0.0000 0.0753 0.2500
O2 O 0.0451 0.2211 0.5940
O3 O 0.1919 0.4690 0.8737
# * total DFT energy (no corrections): -223.0 eV per cell
# * ΔE_f (raw): -2012 meV per atom

***

# HfSnHgGe2 | Alexandria | GGA-PBE | optimized geometry
data_HfSnHgGe2
_space_group_name_H-M_alt 'P 4/m m m'
_space_group_IT_number 123
_space_group_name_Hall '-P 4 2'
_cell_length_a 5.1619
_cell_length_b 5.1619
_cell_length_c 5.4982
_cell_angle_alpha 90.00
_cell_angle_beta 90.00
_cell_angle_gamma 90.00
loop_
_atom_site_label
_atom_site_type_symbol
_atom_site_fract_x
_atom_site_fract_y
_atom_site_fract_z
Hf1 Hf 0.0000 0.0000 0.0000
Sn1 Sn 0.5000 0.5000 0.5000
Hg1 Hg 0.0000 0.0000 0.5000
Ge1 Ge 0.0000 0.5000 0.0000
# * energy of formation from the pure elements: 465 meV/atom
# * total DFT energy (no corrections): -21.2 eV per cell
# * excess energy over the best structure of this formula in the dataset: 0.000 eV/atom